# VCu6Pd8

An optimized crystal structure of VCu6Pd8 (PBE, Alexandria via LeMat-Bulk).

abc: 5.111 7.245 7.245
angles: 120.00 90.00 90.00
Each line ends with the local moment (μB).
Atoms (fractional coordinates):
V (0.500, 0.000, 0.000)  1.74
Cu (0.656, 0.663, 0.018)  0.00
Cu (0.656, 0.982, 0.645)  0.00
Cu (0.656, 0.355, 0.337)  0.00
Cu (0.344, 0.337, 0.982)  0.00
Cu (0.344, 0.018, 0.355)  0.00
Cu (0.344, 0.645, 0.663)  0.00
Pd (0.842, 0.010, 0.314)  0.00
Pd (0.842, 0.686, 0.695)  0.00
Pd (0.842, 0.305, 0.990)  0.00
Pd (0.158, 0.990, 0.686)  0.00
Pd (0.158, 0.314, 0.305)  0.00
Pd (0.158, 0.695, 0.010)  0.00
Pd (0.565, 0.333, 0.667)  0.03
Pd (0.435, 0.667, 0.333)  0.03

**Crystal system**: trigonal
**Distance to the lowest polymorph of the same formula**: 0.100 eV per atom
**ΔH_f (0 K)**: 116.5 meV per atom
**Magnetization**: 2.032 μB/cell
**VASP energy**: -73.491 eV/cell